# 1
The following is a DFT calculation (PBE) of an optimized crystal structure of NaScZn17.

Size of the total moment = 0.000 μB per atom
Raw total energy = -0.0602 Ha/atom

Lattice parameters (Å, degrees): 6.7727 6.7727 6.7727 82.65 82.65 82.65
Last column: nearest neighbours and their distance in Å.
Atoms (fractional coordinates):
Na 0.0000 0.0000 0.0000  19 Zn 3.14-3.45
Sc 0.3255 0.3255 0.3255  13 Zn 3.02-3.28
Zn 0.0151 0.0151 0.4897  8 Zn 2.54-2.77
Zn 0.0151 0.4896 0.0151  8 Zn 2.54-2.77
Zn 0.1577 0.6592 0.6592  10 Zn 2.58-2.72
Zn 0.3095 0.3095 0.8129  9 Zn 2.54-2.79
Zn 0.3095 0.8129 0.3095  9 Zn 2.54-2.79
Zn 0.3570 0.6581 0.9613  8 Zn 2.58-2.77
Zn 0.3570 0.9613 0.6581  8 Zn 2.58-2.77
Zn 0.4896 0.0151 0.0151  8 Zn 2.54-2.77
Zn 0.5552 0.5552 0.5552  7 Zn 2.67-2.79
Zn 0.6581 0.3570 0.9613  8 Zn 2.58-2.77
Zn 0.6581 0.9613 0.3570  8 Zn 2.58-2.77
Zn 0.6592 0.1577 0.6592  10 Zn 2.58-2.72
Zn 0.6592 0.6592 0.1577  10 Zn 2.58-2.72
Zn 0.7583 0.7583 0.7583  7 Zn 2.67-2.92
Zn 0.8129 0.3095 0.3095  9 Zn 2.54-2.79
Zn 0.9613 0.3570 0.6581  8 Zn 2.58-2.77
Zn 0.9613 0.6581 0.3570  8 Zn 2.58-2.77


# 2
The following is a DFT calculation (PBE) of an optimized crystal structure of CdCu2Br6.

Size of the total moment = 0.195 μB per atom
Formation energy without anion corrections = -0.40 eV/atom

Lattice parameters (Å, degrees): 8.9005 8.9005 6.9710 99.30 99.30 83.77
Last column: nearest neighbours and their distance in Å.
Atoms (fractional coordinates):
Cd 0.1114 0.8886 0.7500  6 Br 2.73-2.95
Cd 0.8886 0.1114 0.2500  6 Br 2.73-2.95
Cu 0.2301 0.3874 0.6908  4 Br 2.37-2.47
Cu 0.3874 0.2301 0.1908  4 Br 2.37-2.47
Cu 0.6126 0.7699 0.8092  4 Br 2.37-2.47
Cu 0.7699 0.6126 0.3092  4 Br 2.37-2.47
Br 0.0405 0.1959 0.6330  1 Cu 2.47
Br 0.1355 0.6139 0.8842  1 Cu 2.39
Br 0.1959 0.0405 0.1330  1 Cu 2.47
Br 0.2815 0.4469 0.3897  2 Cu 2.37-2.39
Br 0.3861 0.8645 0.6158  1 Cu 2.39
Br 0.4469 0.2815 0.8897  2 Cu 2.37-2.39
Br 0.5531 0.7185 0.1103  2 Cu 2.37-2.39
Br 0.6139 0.1355 0.3842  1 Cu 2.39
Br 0.7185 0.5531 0.6103  2 Cu 2.37-2.39
Br 0.8041 0.9595 0.8670  1 Cu 2.47
Br 0.8645 0.3861 0.1158  1 Cu 2.39
Br 0.9595 0.8041 0.3670  1 Cu 2.47


# 3
The following is a DFT calculation (PBE) of an optimized crystal structure of Al2PdPt2.

Size of the total moment = 0.000 μB per atom
E above lowest polymorph = 6.9 meV/atom

Lattice parameters (Å, degrees): 7.2954 7.2954 2.8560 90.00 90.00 90.00
Last column: nearest neighbours and their distance in Å.
Atoms (fractional coordinates):
Al 0.1532 0.3468 0.0000  6 Pt 2.53-2.60, 2 Pd 2.77
Al 0.3468 0.8468 0.0000  6 Pt 2.53-2.60, 2 Pd 2.77
Al 0.6532 0.1532 0.0000  6 Pt 2.53-2.60, 2 Pd 2.77
Al 0.8468 0.6532 0.0000  6 Pt 2.53-2.60, 2 Pd 2.77
Pd 0.0000 0.0000 0.0000  4 Al 2.77, 2 Pd 2.86
Pd 0.5000 0.5000 0.0000  4 Al 2.77, 2 Pd 2.86
Pt 0.1442 0.6442 0.5000  6 Al 2.53-2.60
Pt 0.3558 0.1442 0.5000  6 Al 2.53-2.60
Pt 0.6442 0.8558 0.5000  6 Al 2.53-2.60
Pt 0.8558 0.3558 0.5000  6 Al 2.53-2.60


# 4
The following is a DFT calculation (PBE) of an optimized crystal structure of BaLa14Pr.

Size of the total moment = 0.000 μB per atom
Raw total energy = -0.1724 Ha/atom

Lattice parameters (Å, degrees): 7.5052 7.5052 10.5848 90.00 90.00 90.00
Last column: nearest neighbours and their distance in Å.
Atoms (fractional coordinates):
Ba 0.0000 0.0000 0.0000  12 La 3.75-3.86
La 0.0000 0.0000 0.5000  12 La 3.75-3.76
La 0.0000 0.5000 0.0000  2 Ba 3.75, 2 Pr 3.75, 8 La 3.80
La 0.0000 0.5000 0.5000  12 La 3.70-3.75
La 0.2582 0.2582 0.2568  10 La 3.63-3.88, 1 Pr 3.74, 1 Ba 3.86
La 0.2582 0.2582 0.7432  10 La 3.63-3.88, 1 Pr 3.74, 1 Ba 3.86
La 0.2582 0.7418 0.2568  10 La 3.63-3.88, 1 Pr 3.74, 1 Ba 3.86
La 0.2582 0.7418 0.7432  10 La 3.63-3.88, 1 Pr 3.74, 1 Ba 3.86
La 0.5000 0.0000 0.0000  2 Ba 3.75, 2 Pr 3.75, 8 La 3.80
La 0.5000 0.0000 0.5000  12 La 3.70-3.75
La 0.5000 0.5000 0.5000  12 La 3.64-3.75
La 0.7418 0.2582 0.2568  10 La 3.63-3.88, 1 Pr 3.74, 1 Ba 3.86
La 0.7418 0.2582 0.7432  10 La 3.63-3.88, 1 Pr 3.74, 1 Ba 3.86
La 0.7418 0.7418 0.2568  10 La 3.63-3.88, 1 Pr 3.74, 1 Ba 3.86
La 0.7418 0.7418 0.7432  10 La 3.63-3.88, 1 Pr 3.74, 1 Ba 3.86
Pr 0.5000 0.5000 0.0000  12 La 3.74-3.75